First-principles (GGA-PBE) data for an optimized crystal structure of BaSc2Pd, as listed in the Alexandria database.

The structure in POSCAR format:
```
BaSc2Pd
1.0
5.8642 0.0000 0.0000
0.0000 5.8642 0.0000
2.9321 2.9321 8.6163
Sc Pd Ba
4 2 2
Cartesian
7.3303 5.8638 6.4622
2.9317 1.4661 2.1541
2.9326 4.3982 2.1541
4.3982 5.8647 6.4622
2.9321 5.8642 4.3081
2.9321 2.9321 0.0000
5.8642 2.9321 4.3081
0.0000 0.0000 0.0000
```

## Properties
SG   I4_1/amd
E above lowest polymorph   300 meV/atom
Energy   -4.67 eV per atom
Calculated density   3.74 Mg/m³

***

First-principles (GGA-PBE) data for an optimized crystal structure of BaSc2Pd2, as listed in the Alexandria database.

The structure in POSCAR format:
```
BaSc2Pd2
1.0
-2.9629 -2.2744 -2.6026
3.3846 -1.2142 -2.7920
1.1613 -6.8330 0.6678
Sc Pd Ba
2 2 1
Cartesian
-0.7953 -5.4259 -2.3160
2.3784 -4.8957 -2.4108
0.4454 -3.0001 -1.8668
1.1376 -7.3215 -2.8600
0.0000 0.0000 0.0000
```

## Properties
SG   I4/mmm
E above lowest polymorph   0 meV/atom
Energy   -5.58 eV per atom
Calculated density   5.71 Mg/m³

***

First-principles (GGA-PBE) data for an optimized crystal structure of BaScPd, as listed in the Alexandria database.

The structure in POSCAR format:
```
BaScPd
1.0
-3.8301 -1.3320 2.0476
-1.6034 -1.5019 -3.9762
3.8601 -8.5360 1.6678
Pd Sc Ba
2 2 2
Cartesian
0.5017 -3.6333 -1.4249
0.6416 -6.3197 2.1284
-0.7867 -5.6850 -0.1304
1.9301 -4.2680 0.8339
2.3821 -7.7915 -0.6125
-1.2388 -2.1615 1.3160
```

## Properties
SG   P4/nmm
Energy   -4.98 eV per atom
Calculated density   4.88 Mg/m³

***

We obtain ΔH_f (0 K) values of 0.276; -0.585; -0.502 eV/atom for the records listed above, in that order.